[1]
An optimized crystal structure of Mn2AuC. Source: Alexandria via LeMat-Bulk, functional PBE.

```
16
Lattice="6.0648 0.0000 0.0000 0.0000 6.0648 0.0000 0.0000 0.0000 5.1506" Properties=species:S:1:pos:R:3 pbc="T T T"
Mn 0.9396 1.5162 0.6438
Mn 1.5162 3.9720 1.9315
Mn 1.5162 5.1252 4.5068
Mn 2.0928 1.5162 3.2191
Mn 3.9720 4.5486 3.2191
Mn 4.5486 0.9396 4.5068
Mn 4.5486 2.0928 1.9315
Mn 5.1252 4.5486 0.6438
Au 0.0000 0.0000 2.5753
Au 0.0000 3.0324 3.8629
Au 3.0324 0.0000 1.2876
Au 3.0324 3.0324 0.0000
C 0.0000 0.0000 0.0000
C 0.0000 3.0324 1.2876
C 3.0324 0.0000 3.8629
C 3.0324 3.0324 2.5753
```

The space-group type is I-42d, No. 122. The formation energy from the elements comes out at 0.568 eV per atom.

---

[2]
An optimized crystal structure of PrZrCl. Source: Alexandria via LeMat-Bulk, functional PBE.

```
12
Lattice="5.9926 0.0000 0.0000 0.0000 3.4572 0.0000 -0.1933 0.0000 16.4153" Properties=species:S:1:pos:R:3 pbc="T T T"
Pr 1.0133 0.0000 1.8145
Pr 1.7897 1.7286 14.6008
Pr 4.0096 1.7286 1.8145
Pr 4.7860 0.0000 14.6008
Zr 0.7869 0.0000 11.8903
Zr 2.0161 1.7286 4.5250
Zr 3.7832 1.7286 11.8903
Zr 5.0125 0.0000 4.5250
Cl 1.0160 0.0000 6.2872
Cl 1.7870 1.7286 10.1281
Cl 4.0123 1.7286 6.2872
Cl 4.7833 0.0000 10.1281
```

The space-group type is C2/m, No. 12. The value obtained for the formation energy (no corrections) is -0.71 eV per atom.

---

[3]
An optimized crystal structure of Th3CoGe3. Source: Alexandria via LeMat-Bulk, functional PBE.

```
14
Lattice="5.4737 -2.1130 0.0000 5.4737 2.1130 0.0000 -5.2747 0.0000 13.8890" Properties=species:S:1:pos:R:3 pbc="T T T"
Th -1.8001 0.0000 5.4045
Th -3.7254 0.0000 12.7770
Th 1.3547 0.0000 3.3071
Th 4.3180 0.0000 10.5819
Th 9.3980 0.0000 1.1121
Th 7.4728 0.0000 8.4846
Co -0.3626 0.0000 8.5510
Co 6.0353 0.0000 5.3380
Ge 1.2361 0.0000 6.3782
Ge -0.6983 0.0000 12.8486
Ge 1.2257 0.0000 10.4973
Ge 4.4469 0.0000 3.3917
Ge 6.3710 0.0000 1.0404
Ge 4.4366 0.0000 7.5108
```

The space-group type is C2/m, No. 12. The formation energy from the elements comes out at -0.685 eV per atom.

---

[4]
An optimized crystal structure of PrPaSb2O8. Source: Alexandria via LeMat-Bulk, functional PBE.

```
12
Lattice="-3.6906 3.6906 3.5952 3.6906 -3.6906 3.5952 3.6906 3.6906 -3.5952" Properties=species:S:1:pos:R:3 pbc="T T T"
Pr 0.0000 0.0000 0.0000
Pa 3.6906 0.0000 1.7976
Sb 0.0000 0.0000 3.5952
Sb 0.0000 3.6906 1.7976
O 2.1535 3.6906 -1.4945
O 1.5372 0.0000 2.1007
O 0.0000 2.3559 0.4425
O 3.6906 2.1535 1.4945
O 0.0000 5.0254 0.4425
O 0.0000 1.5372 5.0897
O -1.3348 3.6906 3.1527
O 1.3348 3.6906 3.1527
```

The space-group type is I-4m2, No. 119. The value obtained for the formation energy (no corrections) is -2.30 eV per atom.

---

[5]
An optimized crystal structure of BiSe. Source: Alexandria via LeMat-Bulk, functional PBE.

```
16
Lattice="9.1156 0.0000 0.0000 0.0000 9.1156 0.0000 0.0000 0.0000 5.9541" Properties=species:S:1:pos:R:3 pbc="T T T"
Bi 0.6985 2.4251 0.0000
Bi 2.1327 5.2563 2.9771
Bi 2.4251 8.4170 0.0000
Bi 3.8593 2.1327 2.9771
Bi 5.2563 6.9829 2.9771
Bi 6.6905 0.6985 0.0000
Bi 6.9829 3.8593 2.9771
Bi 8.4170 6.6905 0.0000
Se 0.7799 2.6962 2.9771
Se 1.8616 5.3377 0.0000
Se 2.6962 8.3356 2.9771
Se 3.7779 1.8616 0.0000
Se 5.3377 7.2540 0.0000
Se 6.4194 0.7799 2.9771
Se 7.2540 3.7779 0.0000
Se 8.3356 6.4194 2.9771
```

The energy relative to the lowest polymorph listed for this composition comes out at 140 meV/atom. The space-group type is I4/m, No. 87. The value obtained for the formation energy (no corrections) is -0.18 eV per atom.

---

[6]
An optimized crystal structure of AlTcIr2. Source: Alexandria via LeMat-Bulk, functional PBE.

```
8
Lattice="9.0051 0.0000 0.0000 0.0000 2.7840 0.0000 -0.7875 0.0000 4.6167" Properties=species:S:1:pos:R:3 pbc="T T T"
Al 0.0000 0.0000 0.0000
Al 4.5025 1.3920 0.0000
Tc 2.1063 1.3920 1.3912
Tc 6.6089 0.0000 1.3912
Ir -0.3540 1.3920 2.3036
Ir 1.6575 0.0000 3.7403
Ir 4.1486 0.0000 2.3036
Ir 6.1600 1.3920 3.7403
```

The space-group type is Cm, No. 8. The formation energy from the elements comes out at -0.368 eV per atom.

---

[7]
An optimized crystal structure of Na2PuHg8. Source: Alexandria via LeMat-Bulk, functional PBE.

```
11
Lattice="-2.5195 3.8921 7.2661 2.5195 -3.8921 7.2661 2.5195 3.8921 -7.2661" Properties=species:S:1:pos:R:3 pbc="T T T"
Na 0.0000 0.0000 3.0121
Na 0.0000 0.0000 11.5202
Pu 0.0000 0.0000 7.2661
Hg 2.5195 1.5470 -2.0943
Hg 0.0000 1.5439 0.0000
Hg 2.5195 1.5470 2.0943
Hg 2.5195 0.0000 4.9846
Hg 0.0000 3.8921 2.2815
Hg 0.0000 2.3450 5.1719
Hg 0.0000 6.2403 0.0000
Hg 0.0000 2.3450 9.3604
```

The space-group type is Immm, No. 71. The formation energy from the elements comes out at -0.146 eV per atom.

---

[8]
An optimized crystal structure of CsIn6S8. Source: Alexandria via LeMat-Bulk, functional PBE.

```
15
Lattice="5.6887 3.2844 3.7631 -5.6887 3.2844 3.7631 0.0000 -6.5688 3.7631" Properties=species:S:1:pos:R:3 pbc="T T T"
Cs 0.0000 0.0000 0.0000
In -0.7563 -2.4505 4.1301
In -1.7440 1.8802 4.1301
In -2.5003 -0.5703 7.1591
In 2.5003 0.5703 4.1301
In 1.7440 -1.8802 7.1591
In 0.7563 2.4505 7.1591
S -3.7762 0.6606 5.2111
S -2.4602 -2.9400 6.0781
S 0.0000 0.0000 3.7129
S 1.3160 -3.6006 5.2111
S -1.3160 3.6006 6.0781
S 0.0000 0.0000 7.5762
S 2.4602 2.9400 5.2111
S 3.7762 -0.6606 6.0781
```

The space-group type is R-3, No. 148. The value obtained for the formation energy (no corrections) is -0.50 eV per atom.